{
  "formula": "RhSe2Cl6",
  "functional": "GGA-PBE",
  "state": "relaxed",
  "cell": [[3.5727, 0.0000, 0.0000], [-0.0307, 8.6302, 0.0000], [-0.0237, -2.5228, 8.5782]],
  "species": ["Rh", "Se", "Se", "Cl", "Cl", "Cl", "Cl", "Cl", "Cl"],
  "fractional_positions": [[0.0000, 0.0000, 0.0000], [0.0028, 0.6272, 0.4686], [0.9972, 0.3728, 0.5314], [0.0039, 0.1161, 0.2722], [0.0080, 0.5223, 0.2143], [0.4987, 0.8298, 0.0306], [0.5013, 0.1702, 0.9694], [0.9920, 0.4777, 0.7857], [0.9961, 0.8839, 0.7278]],
  "spacegroup": "P-1, No. 2",
  "formation_energy_uncorrected_ev_per_atom": -0.3204
}